No. 1
Material: Na2BSbIr
Method: DFT, PBEsol
State: relaxed

Geometry as extended XYZ:
```
5
Lattice="4.528 0.000 0.000 0.000 4.528 0.000 0.000 0.000 4.521" Properties=species:S:1:pos:R:3 pbc="T T T"
Na 0.000 2.264 0.000
Na 2.264 0.000 0.000
B 0.000 0.000 0.000
Sb 0.000 0.000 2.260
Ir 2.264 2.264 2.260
```

## Properties
E_form (uncorrected)	1197	meV per atom

---

No. 2
Material: NbCrSb2Te
Method: DFT, PBEsol
State: relaxed

Geometry as extended XYZ:
```
5
Lattice="4.921 0.000 0.000 0.000 4.921 0.000 0.000 0.000 5.136" Properties=species:S:1:pos:R:3 pbc="T T T"
Nb 0.000 0.000 0.000
Cr 2.461 2.461 2.568
Sb 0.000 2.461 2.568
Sb 2.461 0.000 2.568
Te 2.461 2.461 0.000
```

## Properties
E_form (uncorrected)	880	meV per atom

---

No. 3
Material: GeWIN2
Method: DFT, PBEsol
State: relaxed

Geometry as extended XYZ:
```
5
Lattice="3.988 0.000 0.000 0.000 3.988 0.000 0.000 0.000 5.532" Properties=species:S:1:pos:R:3 pbc="T T T"
Ge 0.000 0.000 0.000
W 1.994 1.994 2.766
I 1.994 1.994 0.000
N 0.000 1.994 2.766
N 1.994 0.000 2.766
```

## Properties
E_form (uncorrected)	693	meV per atom

---

No. 4
Material: BaZn3Cr
Method: DFT, PBEsol
State: relaxed

Geometry as extended XYZ:
```
5
Lattice="4.908 0.000 0.000 0.000 4.908 0.000 0.000 0.000 4.908" Properties=species:S:1:pos:R:3 pbc="T T T"
Ba 0.000 0.000 0.000
Zn 0.000 2.454 2.454
Zn 2.454 0.000 2.454
Zn 2.454 2.454 0.000
Cr 2.454 2.454 2.454
```

## Properties
energy relative to the elements	25.7	kJ/mol of atoms

---

No. 5
Material: BePtAu3
Method: DFT, PBEsol
State: relaxed

Geometry as extended XYZ:
```
5
Lattice="4.292 0.000 0.000 0.000 4.292 0.000 0.000 0.000 4.292" Properties=species:S:1:pos:R:3 pbc="T T T"
Be 0.000 0.000 0.000
Pt 2.146 2.146 2.146
Au 0.000 0.000 2.146
Au 0.000 2.146 0.000
Au 2.146 0.000 0.000
```

## Properties
energy relative to the elements	36.7	kJ/mol of atoms

---

No. 6
Material: ZrSi2As
Method: DFT, PBEsol
State: relaxed

Geometry as extended XYZ:
```
4
Lattice="-1.934 1.934 4.468 1.934 -1.934 4.468 1.934 1.934 -4.468" Properties=species:S:1:pos:R:3 pbc="T T T"
Zr 0.000 0.000 0.000
Si 1.934 0.000 2.234
Si 0.000 0.000 4.468
As 0.000 1.934 2.234
```

## Properties
E_form (uncorrected)	-245	meV per atom

---

no.,magnetization (μB per formula unit)
1,0.4
2,5.0
3,0.0
4,3.5
5,0.0
6,0.0